1.
# GGA-PBE Ba12H2Au5, relaxed
# - magnetization (μB per atom) = 0.047
# - calculated total energy (eV per atom) = -2.865
# - V (A^3/atom) = 41.681
data_Ba12H2Au5
_chemical_formula_sum 'Ba24 H4 Au10'
_space_group_name_H-M_alt 'C 1 2/m 1'
_space_group_IT_number 12
_cell_length_a 18.511
_cell_length_b 8.611
_cell_length_c 10.315
_cell_angle_alpha 90.00
_cell_angle_beta 105.57
_cell_angle_gamma 90.00
loop_
_space_group_symop_operation_xyz
'x,y,z'
'-x,-y,-z'
'-x,y,-z'
'x,-y,z'
'x+1/2,y+1/2,z'
'-x+1/2,-y+1/2,-z'
'-x+1/2,y+1/2,-z'
'x+1/2,-y+1/2,z'
loop_
_atom_site_label
_atom_site_fract_x
_atom_site_fract_y
_atom_site_fract_z
Ba1 0.001 0.000 0.294
Ba2 0.011 0.500 0.316
Ba3 0.146 0.254 0.065
Ba4 0.171 0.244 0.600
H1 0.000 0.241 0.500
Au1 0.000 0.500 0.000
Au2 0.183 0.000 0.341
Au3 0.195 0.000 0.855

2.
# GGA-PBE Tl3As2P, relaxed
# - magnetization (μB per atom) = 0.000
# - ΔE_f (eV per atom) = 0.156
# - calculated total energy (eV per atom) = -3.478
# - V (A^3/atom) = 28.110
data_Tl3As2P
_chemical_formula_sum 'Tl6 As4 P2'
_space_group_name_H-M_alt 'P -1'
_space_group_IT_number 2
_cell_length_a 6.145
_cell_length_b 6.536
_cell_length_c 9.652
_cell_angle_alpha 108.37
_cell_angle_beta 94.87
_cell_angle_gamma 110.09
loop_
_space_group_symop_operation_xyz
'x,y,z'
'-x,-y,-z'
loop_
_atom_site_label
_atom_site_fract_x
_atom_site_fract_y
_atom_site_fract_z
Tl1 0.067 0.395 0.134
Tl2 0.242 0.230 0.676
Tl3 0.334 0.021 0.280
As1 0.168 0.633 0.473
As2 0.350 0.069 0.963
P1 0.500 0.500 0.000
P2 0.500 0.500 0.500

3.
# GGA-PBE Pm7Nd, relaxed
# - magnetization (μB per atom) = 0.000
# - ΔE_f (eV per atom) = 0.008
# - calculated total energy (eV per atom) = -4.745
# - V (A^3/atom) = 34.435
data_Pm7Nd
_chemical_formula_sum 'Pm28 Nd4'
_space_group_name_H-M_alt 'F m -3 m'
_space_group_IT_number 225
_space_group_name_Hall '-F 4 2 3'
_cell_length_a 10.329
_cell_length_b 10.329
_cell_length_c 10.329
_cell_angle_alpha 90.00
_cell_angle_beta 90.00
_cell_angle_gamma 90.00
loop_
_atom_site_label
_atom_site_fract_x
_atom_site_fract_y
_atom_site_fract_z
Pm1 0.000 0.000 0.000
Pm2 0.000 0.250 0.250
Nd1 0.000 0.000 0.500

4.
# GGA-PBE YEr4Tm2, relaxed
# - magnetization (μB per atom) = 0.000
# - ΔE_f (eV per atom) = 0.120
# - calculated total energy (eV per atom) = -4.688
# - V (A^3/atom) = 31.510
data_YEr4Tm2
_chemical_formula_sum 'Y4 Er16 Tm8'
_space_group_name_H-M_alt 'C 1 m 1'
_space_group_IT_number 8
_cell_length_a 17.830
_cell_length_b 5.494
_cell_length_c 10.255
_cell_angle_alpha 90.00
_cell_angle_beta 118.56
_cell_angle_gamma 90.00
loop_
_space_group_symop_operation_xyz
'x,y,z'
'x,-y,z'
'x+1/2,y+1/2,z'
'x+1/2,-y+1/2,z'
loop_
_atom_site_label
_atom_site_fract_x
_atom_site_fract_y
_atom_site_fract_z
Y1 0.000 0.000 0.000
Y2 0.195 0.000 0.758
Er1 0.187 0.000 0.421
Er2 0.215 0.000 0.087
Er3 0.290 0.500 0.663
Er4 0.303 0.500 0.003
Er5 0.389 0.000 0.757
Er6 0.430 0.000 0.125
Er7 0.469 0.500 0.335
Er8 0.474 0.500 0.651
Tm1 0.087 0.500 0.517
Tm2 0.095 0.500 0.873
Tm3 0.252 0.500 0.296
Tm4 0.382 0.000 0.417

5.
# GGA-PBE BaBr3, relaxed
# - magnetization (μB per atom) = 0.238
# - E_form (uncorrected) (eV per atom) = -1.41
# - calculated total energy (eV per atom) = -3.142
# - V (A^3/atom) = 32.326
data_BaBr3
_chemical_formula_sum 'Ba2 Br6'
_space_group_name_H-M_alt 'P 63/m m c'
_space_group_IT_number 194
_space_group_name_Hall '-P 6c 2c'
_cell_length_a 6.9355
_cell_length_b 6.9355
_cell_length_c 6.2081
_cell_angle_alpha 90.00
_cell_angle_beta 90.00
_cell_angle_gamma 120.00
loop_
_atom_site_label
_atom_site_fract_x
_atom_site_fract_y
_atom_site_fract_z
Ba1 0.3333 0.6667 0.2500
Br1 0.1727 0.3453 0.7500

6.
# GGA-PBE LaThCo10, relaxed
# - magnetization (μB per atom) = 1.066
# - ΔE_f (eV per atom) = -0.080
# - calculated total energy (eV per atom) = -7.031
# - V (A^3/atom) = 14.343
data_LaThCo10
_chemical_formula_sum 'La1 Th1 Co10'
_space_group_name_H-M_alt 'P m m m'
_space_group_IT_number 47
_cell_length_a 3.998
_cell_length_b 4.970
_cell_length_c 8.662
_cell_angle_alpha 90.00
_cell_angle_beta 90.00
_cell_angle_gamma 90.00
loop_
_space_group_symop_operation_xyz
'x,y,z'
'-x,-y,-z'
'-x,-y,z'
'x,y,-z'
'x,-y,-z'
'-x,y,z'
'-x,y,-z'
'x,-y,z'
loop_
_atom_site_label
_atom_site_fract_x
_atom_site_fract_y
_atom_site_fract_z
La1 0.000 0.000 0.000
Th1 0.000 0.500 0.500
Co1 0.000 0.000 0.337
Co2 0.000 0.500 0.179
Co3 0.500 0.000 0.500
Co4 0.500 0.250 0.252
Co5 0.500 0.500 0.000

7.
# GGA-PBE YNi4Os, relaxed
# - magnetization (μB per atom) = 0.528
# - ΔE_f (eV per atom) = -0.035
# - calculated total energy (eV per atom) = -6.839
# - V (A^3/atom) = 13.707
data_YNi4Os
_chemical_formula_sum 'Y4 Ni16 Os4'
_space_group_name_H-M_alt 'F -4 3 m'
_space_group_IT_number 216
_space_group_name_Hall 'F -4 2 3'
_cell_length_a 6.903
_cell_length_b 6.903
_cell_length_c 6.903
_cell_angle_alpha 90.00
_cell_angle_beta 90.00
_cell_angle_gamma 90.00
loop_
_atom_site_label
_atom_site_fract_x
_atom_site_fract_y
_atom_site_fract_z
Y1 0.000 0.000 0.000
Ni1 0.124 0.124 0.624
Os1 0.250 0.250 0.250

8.
# GGA-PBE Sc3PO, relaxed
# - magnetization (μB per atom) = 0.000
# - E_form (uncorrected) (eV per atom) = -1.63
# - calculated total energy (eV per atom) = -7.498
# - V (A^3/atom) = 17.261
# - E above lowest polymorph (kJ/mol of formula units) = 0.0
data_Sc3PO
_chemical_formula_sum 'Sc24 P8 O8'
_space_group_name_H-M_alt 'C 1 2/c 1'
_space_group_IT_number 15
_cell_length_a 12.182
_cell_length_b 9.761
_cell_length_c 5.907
_cell_angle_alpha 90.00
_cell_angle_beta 100.60
_cell_angle_gamma 90.00
loop_
_space_group_symop_operation_xyz
'x,y,z'
'-x,-y,-z'
'-x,y,-z+1/2'
'x,-y,z+1/2'
'x+1/2,y+1/2,z'
'-x+1/2,-y+1/2,-z'
'-x+1/2,y+1/2,-z+1/2'
'x+1/2,-y+1/2,z+1/2'
loop_
_atom_site_label
_atom_site_fract_x
_atom_site_fract_y
_atom_site_fract_z
Sc1 0.098 0.249 0.461
Sc2 0.103 0.422 0.955
Sc3 0.105 0.077 0.921
P1 0.249 0.106 0.298
O1 0.000 0.256 0.750
O2 0.000 0.418 0.250